This record from the Alexandria database describes a relaxed Tb2Nd3Dy6Th crystal. The functional is PBE.

CIF file:
```
data_Tb2Nd3Dy6Th
_chemical_formula_sum 'Tb2 Nd3 Dy6 Th1'
_symmetry_space_group_name_H-M 'P 1'
_symmetry_Int_Tables_number 1
_symmetry_space_group_name_Hall 'P 1'
_cell_length_a 6.214
_cell_length_b 6.214
_cell_length_c 11.839
_cell_angle_alpha 95.03
_cell_angle_beta 95.03
_cell_angle_gamma 119.97
loop_
_atom_site_label
_atom_site_fract_x
_atom_site_fract_y
_atom_site_fract_z
Th1 0.000 0.000 0.000
Dy1 0.412 0.083 0.246
Dy2 0.083 0.412 0.246
Dy3 0.247 0.247 0.753
Dy4 0.753 0.753 0.247
Dy5 0.588 0.917 0.754
Dy6 0.917 0.588 0.754
Tb1 0.333 0.667 0.000
Tb2 0.667 0.333 0.000
Nd1 0.500 0.500 0.500
Nd2 0.167 0.833 0.500
Nd3 0.833 0.167 0.500
```

* raw total energy: -4.86 eV per atom


This record from the Alexandria database describes a relaxed TbNd2Dy4Th crystal. The functional is PBE.

CIF file:
```
data_TbNd2Dy4Th
_chemical_formula_sum 'Tb1 Nd2 Dy4 Th1'
_symmetry_space_group_name_H-M 'P 1'
_symmetry_Int_Tables_number 1
_symmetry_space_group_name_Hall 'P 1'
_cell_length_a 5.102
_cell_length_b 5.083
_cell_length_c 11.250
_cell_angle_alpha 63.18
_cell_angle_beta 90.00
_cell_angle_gamma 90.00
loop_
_atom_site_label
_atom_site_fract_x
_atom_site_fract_y
_atom_site_fract_z
Th1 0.000 0.500 0.500
Dy1 0.000 0.247 0.253
Dy2 0.000 0.753 0.747
Dy3 0.500 0.746 0.254
Dy4 0.500 0.254 0.746
Tb1 0.500 0.500 0.000
Nd1 0.000 0.000 0.000
Nd2 0.500 0.000 0.500
```

* raw total energy: -4.97 eV per atom


This record from the Alexandria database describes a relaxed Tb6Nd3DyTh2 crystal. The functional is PBE.

CIF file:
```
data_Tb6Nd3DyTh2
_chemical_formula_sum 'Tb6 Nd3 Dy1 Th2'
_symmetry_space_group_name_H-M 'P 1'
_symmetry_Int_Tables_number 1
_symmetry_space_group_name_Hall 'P 1'
_cell_length_a 6.227
_cell_length_b 6.227
_cell_length_c 11.861
_cell_angle_alpha 95.03
_cell_angle_beta 95.03
_cell_angle_gamma 119.96
loop_
_atom_site_label
_atom_site_fract_x
_atom_site_fract_y
_atom_site_fract_z
Tb1 0.581 0.918 0.755
Tb2 0.256 0.256 0.755
Tb3 0.918 0.581 0.755
Tb4 0.744 0.744 0.245
Tb5 0.419 0.082 0.245
Tb6 0.082 0.419 0.245
Nd1 0.500 0.500 0.500
Nd2 0.833 0.167 0.500
Nd3 0.167 0.833 0.500
Th1 0.667 0.333 0.000
Th2 0.333 0.667 0.000
Dy1 0.000 0.000 0.000
```

* raw total energy: -5.11 eV per atom


This record from the Alexandria database describes a relaxed Tb6Nd3Dy2Th crystal. The functional is PBE.

CIF file:
```
data_Tb6Nd3Dy2Th
_chemical_formula_sum 'Tb6 Nd3 Dy2 Th1'
_symmetry_space_group_name_H-M 'P 1'
_symmetry_Int_Tables_number 1
_symmetry_space_group_name_Hall 'P 1'
_cell_length_a 6.220
_cell_length_b 6.220
_cell_length_c 11.888
_cell_angle_alpha 95.01
_cell_angle_beta 95.01
_cell_angle_gamma 119.96
loop_
_atom_site_label
_atom_site_fract_x
_atom_site_fract_y
_atom_site_fract_z
Tb1 0.083 0.412 0.246
Tb2 0.412 0.083 0.246
Tb3 0.917 0.588 0.754
Tb4 0.588 0.917 0.754
Tb5 0.753 0.753 0.246
Tb6 0.247 0.247 0.754
Nd1 0.500 0.500 0.500
Nd2 0.833 0.167 0.500
Nd3 0.167 0.833 0.500
Dy1 0.667 0.333 0.000
Dy2 0.333 0.667 0.000
Th1 0.000 0.000 0.000
```

* raw total energy: -4.87 eV per atom


This record from the Alexandria database describes a relaxed Tb5NdDy2Th crystal. The functional is PBE.

CIF file:
```
data_Tb5NdDy2Th
_chemical_formula_sum 'Tb10 Nd2 Dy4 Th2'
_symmetry_space_group_name_H-M 'P 1'
_symmetry_Int_Tables_number 1
_symmetry_space_group_name_Hall 'P 1'
_cell_length_a 5.654
_cell_length_b 10.470
_cell_length_c 10.404
_cell_angle_alpha 90.00
_cell_angle_beta 90.00
_cell_angle_gamma 105.67
loop_
_atom_site_label
_atom_site_fract_x
_atom_site_fract_y
_atom_site_fract_z
Tb1 0.016 0.033 0.022
Tb2 0.984 0.967 0.522
Tb3 0.612 0.224 0.526
Tb4 0.703 0.406 0.209
Tb5 0.477 0.955 0.738
Tb6 0.523 0.045 0.238
Tb7 0.297 0.594 0.709
Tb8 0.725 0.450 0.818
Tb9 0.275 0.550 0.318
Tb10 0.388 0.776 0.026
Nd1 0.589 0.177 0.945
Nd2 0.411 0.823 0.445
Th1 0.801 0.602 0.516
Th2 0.199 0.398 0.016
Dy1 0.887 0.773 0.819
Dy2 0.115 0.230 0.731
Dy3 0.113 0.227 0.319
Dy4 0.885 0.770 0.231
```

* raw total energy: -4.78 eV per atom


This record from the Alexandria database describes a relaxed Tb2NdDy4Th crystal. The functional is PBE.

CIF file:
```
data_Tb2NdDy4Th
_chemical_formula_sum 'Tb2 Nd1 Dy4 Th1'
_symmetry_space_group_name_H-M 'P 1'
_symmetry_Int_Tables_number 1
_symmetry_space_group_name_Hall 'P 1'
_cell_length_a 5.072
_cell_length_b 5.057
_cell_length_c 11.239
_cell_angle_alpha 63.29
_cell_angle_beta 90.00
_cell_angle_gamma 90.00
loop_
_atom_site_label
_atom_site_fract_x
_atom_site_fract_y
_atom_site_fract_z
Dy1 0.500 0.745 0.255
Dy2 0.000 0.246 0.254
Dy3 0.000 0.754 0.746
Dy4 0.500 0.255 0.745
Th1 0.000 0.500 0.500
Tb1 0.000 0.000 0.000
Tb2 0.500 0.000 0.500
Nd1 0.500 0.500 0.000
```

* raw total energy: -4.95 eV per atom


This record from the Alexandria database describes a relaxed Tb5NdDyTh2 crystal. The functional is PBE.

CIF file:
```
data_Tb5NdDyTh2
_chemical_formula_sum 'Tb10 Nd2 Dy2 Th4'
_symmetry_space_group_name_H-M 'P 1'
_symmetry_Int_Tables_number 1
_symmetry_space_group_name_Hall 'P 1'
_cell_length_a 8.750
_cell_length_b 8.750
_cell_length_c 9.976
_cell_angle_alpha 116.01
_cell_angle_beta 116.01
_cell_angle_gamma 90.00
loop_
_atom_site_label
_atom_site_fract_x
_atom_site_fract_y
_atom_site_fract_z
Nd1 0.250 0.750 0.500
Nd2 0.750 0.250 0.500
Th1 0.620 0.120 0.000
Th2 0.380 0.880 0.000
Th3 0.880 0.620 0.000
Th4 0.120 0.380 0.000
Dy1 0.250 0.250 0.500
Dy2 0.750 0.750 0.500
Tb1 0.652 0.152 0.721
Tb2 0.000 0.000 0.000
Tb3 0.152 0.069 0.721
Tb4 0.431 0.348 0.279
Tb5 0.348 0.848 0.279
Tb6 0.848 0.931 0.279
Tb7 0.500 0.500 0.000
Tb8 0.069 0.569 0.721
Tb9 0.569 0.652 0.721
Tb10 0.931 0.431 0.279
```

* raw total energy: -4.94 eV per atom


This record from the Alexandria database describes a relaxed TbNd2Dy5Th crystal. The functional is PBE.

CIF file:
```
data_TbNd2Dy5Th
_chemical_formula_sum 'Tb2 Nd4 Dy10 Th2'
_symmetry_space_group_name_H-M 'P 1'
_symmetry_Int_Tables_number 1
_symmetry_space_group_name_Hall 'P 1'
_cell_length_a 5.731
_cell_length_b 11.133
_cell_length_c 9.840
_cell_angle_alpha 90.00
_cell_angle_beta 90.00
_cell_angle_gamma 104.92
loop_
_atom_site_label
_atom_site_fract_x
_atom_site_fract_y
_atom_site_fract_z
Dy1 0.271 0.541 0.328
Dy2 0.694 0.389 0.216
Dy3 0.530 0.060 0.241
Dy4 0.470 0.940 0.741
Dy5 0.015 0.030 0.016
Dy6 0.397 0.794 0.041
Dy7 0.729 0.459 0.828
Dy8 0.603 0.206 0.541
Dy9 0.985 0.970 0.516
Dy10 0.306 0.611 0.716
Nd1 0.115 0.229 0.328
Nd2 0.130 0.260 0.712
Nd3 0.870 0.740 0.212
Nd4 0.885 0.771 0.828
Th1 0.595 0.190 0.926
Th2 0.405 0.810 0.426
Tb1 0.191 0.383 0.017
Tb2 0.809 0.617 0.517
```

* raw total energy: -4.79 eV per atom


Among the records above, which one has the highest raw total energy? Tb5NdDy2Th


Which of these has the highest raw total energy? Tb5NdDy2Th


Which formula does entry 5 have? Tb5NdDy2Th


Which of these has the highest raw total energy? Tb5NdDy2Th